1.
Here is ScTeP3 after structural relaxation from Alexandria via LeMat-Bulk. Energies are from PBE-GGA.

Cell: 4.9621 4.9621 4.9621 Å, 90.00 90.00 90.00°
With the nearest neighbours (Å) after each atom.
Sites, in units of the cell vectors:
Sc: 0.5000 0.5000 0.5000  12 P 3.51
P: 0.0000 0.5000 0.0000  2 Te 2.48
P: 0.0000 0.0000 0.5000  2 Te 2.48
P: 0.5000 0.0000 0.0000  2 Te 2.48
Te: 0.0000 0.0000 0.0000  6 P 2.48

* Fermi-level density of states: 0.61 states/eV per atom
* energy above the most stable polymorph in this dataset: 258 meV per atom
* space group: Pm-3m (221)
* raw formation energy: 0.80 eV per atom
* crystal system: cubic



2.
Here is SrIn2As after structural relaxation from Alexandria via LeMat-Bulk. Energies are from PBE-GGA.

Cell: 5.4203 5.4203 5.9409 Å, 70.59 70.59 45.72°
With the nearest neighbours (Å) after each atom.
Sites, in units of the cell vectors:
Sr: 0.5191 0.5191 0.4914  2 As 3.22, 3 In 3.46-3.49
As: 0.2540 0.2540 0.1672  5 In 2.96-3.11, 2 Sr 3.22
In: 0.9872 0.9872 0.0149  3 As 3.03-3.11, 3 In 3.06-3.16
In: 0.7398 0.7398 0.8264  2 As 2.96, 3 In 3.06-3.16

* Fermi-level density of states: 0.50 states/eV per atom
* formation enthalpy at 0 K: -148 kJ/mol of formula units
* space group: Cm (8)
* crystal system: monoclinic



3.
Here is SmTl2Cu2Te4 after structural relaxation from Alexandria via LeMat-Bulk. Energies are from PBE-GGA.

Cell: 4.2298 8.6009 8.1840 Å, 108.05 104.98 90.00°
With the nearest neighbours (Å) after each atom.
Sites, in units of the cell vectors:
Sm: 0.0000 0.0000 0.0000  6 Te 3.11-3.15
Tl: 0.1307 0.5501 0.2615  7 Te 3.48-3.67
Tl: 0.8693 0.4499 0.7385  7 Te 3.48-3.67
Cu: 0.6846 0.9931 0.3691  4 Te 2.65-2.67, 2 Cu 2.93
Cu: 0.3154 0.0069 0.6309  4 Te 2.65-2.67, 2 Cu 2.93
Te: 0.2065 0.1884 0.4130  3 Cu 2.65-2.67
Te: 0.7935 0.8116 0.5870  3 Cu 2.65-2.67
Te: 0.5275 0.7550 0.0550  1 Cu 2.66
Te: 0.4725 0.2450 0.9450  1 Cu 2.66

* Fermi-level density of states: 0.40 states/eV per atom
* space group: C2/m (12)
* raw formation energy: -0.54 eV per atom
* crystal system: monoclinic